[1]
Below is Ce3HgH2 after structural relaxation, with properties calculated at the PBE level.

Results
Space-group type   Immm (71)
E   -53.23 eV for the cell shown
Mass density   8.79 g/cm3
Density of states at the Fermi level   25.77 states/eV/cell

Cell: 4.795 4.815 10.192 Å, 90.00 90.00 90.00°
Fractional positions:
1 Ce 0.000 0.000 0.000
2 Ce 0.000 0.500 0.249
3 Ce 0.000 0.500 0.751
4 Ce 0.500 0.000 0.251
5 Ce 0.500 0.000 0.749
6 Ce 0.500 0.500 0.500
7 Hg 0.000 0.000 0.500
8 Hg 0.500 0.500 0.000
9 H 0.000 0.000 0.223
10 H 0.000 0.000 0.777
11 H 0.500 0.500 0.277
12 H 0.500 0.500 0.723

[2]
Below is Ce3HgH after structural relaxation, with properties calculated at the PBE level.

Results
Space-group type   Pm-3m (221)
E   -22.44 eV for the cell shown
Mass density   8.99 g/cm3
Density of states at the Fermi level   13.59 states/eV/cell

Cell: 4.860 4.860 4.860 Å, 90.00 90.00 90.00°
Fractional positions:
1 Ce 0.000 0.000 0.500
2 Ce 0.000 0.500 0.000
3 Ce 0.500 0.000 0.000
4 Hg 0.500 0.500 0.500
5 H 0.000 0.000 0.000

[3]
Below is Ce6Hg2H after structural relaxation, with properties calculated at the PBE level.

Results
Space-group type   P2_1/c (14)
E   -82.26 eV for the cell shown
Mass density   9.62 g/cm3
Density of states at the Fermi level   43.87 states/eV/cell

Cell: 6.626 6.662 11.700 Å, 90.00 123.84 90.00°
Fractional positions:
1 Ce 0.200 0.209 0.023
2 Ce 0.200 0.291 0.523
3 Ce 0.237 0.722 0.008
4 Ce 0.237 0.778 0.508
5 Ce 0.294 0.032 0.256
6 Ce 0.294 0.468 0.756
7 Ce 0.706 0.532 0.244
8 Ce 0.706 0.968 0.744
9 Ce 0.763 0.222 0.492
10 Ce 0.763 0.278 0.992
11 Ce 0.800 0.709 0.477
12 Ce 0.800 0.791 0.977
13 Hg 0.231 0.519 0.268
14 Hg 0.231 0.981 0.768
15 Hg 0.769 0.019 0.232
16 Hg 0.769 0.481 0.732
17 H 0.500 0.000 0.500
18 H 0.500 0.500 0.000

[4]
Below is Ce4HgH after structural relaxation, with properties calculated at the PBE level.

Results
Space-group type   P-1 (2)
E   -57.02 eV for the cell shown
Mass density   9.49 g/cm3
Density of states at the Fermi level   26.88 states/eV/cell

Cell: 5.720 6.310 8.043 Å, 99.42 110.32 93.20°
Fractional positions:
1 Ce 0.038 0.061 0.191
2 Ce 0.154 0.492 0.198
3 Ce 0.161 0.395 0.620
4 Ce 0.453 0.898 0.621
5 Ce 0.547 0.102 0.379
6 Ce 0.839 0.605 0.380
7 Ce 0.846 0.508 0.802
8 Ce 0.962 0.939 0.809
9 Hg 0.484 0.749 0.007
10 Hg 0.516 0.251 0.993
11 H 0.000 0.000 0.500
12 H 0.500 0.500 0.500

[5]
Below is CeHgH after structural relaxation, with properties calculated at the PBE level.

Results
Space-group type   P3m1 (156)
E   -10.46 eV for the cell shown
Mass density   9.04 g/cm3
Density of states at the Fermi level   5.60 states/eV/cell

Cell: 3.845 3.845 4.904 Å, 90.00 90.00 120.00°
Fractional positions:
1 Ce 0.000 0.000 0.000
2 Hg 0.333 0.667 0.500
3 H 0.667 0.333 0.001

[6]
Below is CeHgH2 after structural relaxation, with properties calculated at the PBE level.

Results
Space-group type   R-3m (166)
E   -43.04 eV for the cell shown
Mass density   8.73 g/cm3
Density of states at the Fermi level   17.56 states/eV/cell

Cell: 3.876 3.876 15.036 Å, 90.00 90.00 120.00°
Fractional positions:
1 Ce 0.000 0.000 0.000
2 Ce 0.333 0.667 0.667
3 Ce 0.667 0.333 0.333
4 Hg 0.000 0.000 0.500
5 Hg 0.333 0.667 0.167
6 Hg 0.667 0.333 0.833
7 H 0.000 0.000 0.312
8 H 0.000 0.000 0.688
9 H 0.333 0.667 0.355
10 H 0.333 0.667 0.979
11 H 0.667 0.333 0.021
12 H 0.667 0.333 0.645